AcScCr2O6: optimized geometry, GGA+U.

Values from the calculation:
Magnetization   0.60 μB per atom
VASP energy   -0.30129 hartree per atom

Cell lengths 5.4847, 5.4847, 13.9079 Å; angles 90.00, 90.00, 120.00 degrees
Closest atoms and distances in Å follow each position.
Space group R3 (No. 146, hexagonal axes)
Asymmetric unit:
Ac 0.0000 0.0000 0.0000  3 O 2.43
Sc 0.0000 0.0000 0.5347  6 O 2.17-2.18
Cr 0.0000 0.0000 0.2395  6 O 2.00-2.07
Cr 0.0000 0.0000 0.7465  6 O 2.02-2.05
O 0.0003 0.3791 0.4903  2 Cr 2.02-2.07, 1 Sc 2.17
O 0.1172 0.7630 0.3142  2 Cr 2.00-2.05, 1 Sc 2.18